Dy2Mg3Sc2: optimized geometry, PBE.

Geometry as POSCAR:
```
Dy2Mg3Sc2
1.0
3.268 0.000 -0.394
0.000 3.312 0.000
0.367 0.000 16.782
Dy Mg Sc
2 3 2
Cartesian
1.186 1.656 9.827
2.449 1.656 6.561
1.746 1.656 14.469
1.889 1.656 1.919
0.000 0.000 0.000
0.525 0.000 4.348
3.110 0.000 12.040
```

Results
DFT total energy ... -3.765 eV/atom
Theoretical density ... 4.4 g cm⁻³
Energy of formation ... 0.04 eV/atom